Compound: BePt
Source: Alexandria via LeMat-Bulk
Functional: PBE-GGA
Structure: optimized geometry

Lattice parameters (Å, degrees): 5.2642 5.2642 5.2642 100.87 100.87 128.53
Last column: nearest neighbours and their distance in Å.
Fractional positions:
Be 0.0812 0.2406 0.3218  5 Pt 2.29-2.40, 2 Be 2.41
Be 0.2406 0.9188 0.1595  5 Pt 2.29-2.40, 2 Be 2.41
Be 0.7594 0.0812 0.8405  5 Pt 2.29-2.40, 2 Be 2.41
Be 0.9188 0.7594 0.6782  5 Pt 2.29-2.40, 2 Be 2.41
Pt 0.2063 0.5762 0.7825  5 Be 2.29-2.40
Pt 0.4238 0.2063 0.6301  5 Be 2.29-2.40
Pt 0.5762 0.7937 0.3699  5 Be 2.29-2.40
Pt 0.7937 0.4238 0.2175  5 Be 2.29-2.40

Calculated values
ΔH_f (0 K), eV per atom: -0.30
DOS(E_F), states/eV/cell: 1.15
Total magnetization, Bohr magnetons per cell: 0.00


Compound: Hg3Sb2Pb8
Source: Alexandria via LeMat-Bulk
Functional: PBE-GGA
Structure: optimized geometry

Lattice parameters (Å, degrees): 9.2386 9.2386 6.3931 108.96 108.96 54.66
Last column: nearest neighbours and their distance in Å.
Fractional positions:
Hg 0.0000 0.0000 0.0000  6 Pb 3.14-3.48
Hg 0.1771 0.8229 0.5000  1 Hg 3.01, 2 Pb 3.26
Hg 0.8229 0.1771 0.5000  1 Hg 3.01, 2 Pb 3.26
Sb 0.2260 0.2260 0.4146  7 Pb 3.11-3.36
Sb 0.7740 0.7740 0.5854  7 Pb 3.11-3.36
Pb 0.1795 0.5832 0.8188  2 Sb 3.13-3.36, 2 Hg 3.14-3.45, 2 Pb 3.43
Pb 0.1889 0.1889 0.8723  2 Sb 3.20-3.29, 1 Pb 3.45, 3 Hg 3.48
Pb 0.3932 0.3932 0.2945  1 Sb 3.11, 2 Hg 3.26, 3 Pb 3.43-3.45
Pb 0.4168 0.8205 0.1812  2 Sb 3.13-3.36, 2 Hg 3.14-3.45, 2 Pb 3.43
Pb 0.5832 0.1795 0.8188  2 Sb 3.13-3.36, 2 Hg 3.14-3.45, 2 Pb 3.43
Pb 0.6068 0.6068 0.7055  1 Sb 3.11, 2 Hg 3.26, 3 Pb 3.43-3.45
Pb 0.8111 0.8111 0.1277  2 Sb 3.20-3.29, 1 Pb 3.45, 3 Hg 3.48
Pb 0.8205 0.4168 0.1812  2 Sb 3.13-3.36, 2 Hg 3.14-3.45, 2 Pb 3.43

Calculated values
DOS(E_F), states/eV/cell: 6.43
Formation energy from raw total energies, meV/atom: 83
Total magnetization, Bohr magnetons per cell: 0.00


Compound: PrNd2Cu9
Source: Alexandria via LeMat-Bulk
Functional: PBE-GGA
Structure: optimized geometry

Lattice parameters (Å, degrees): 8.9438 8.9438 8.9438 34.31 34.31 34.31
Last column: nearest neighbours and their distance in Å.
Fractional positions:
Pr 0.0000 0.0000 0.0000  18 Cu 3.05-3.33
Nd 0.1439 0.1439 0.1439  12 Cu 3.08-3.15, 3 Nd 3.25
Nd 0.8561 0.8561 0.8561  12 Cu 3.08-3.15, 3 Nd 3.25
Cu 0.0864 0.5780 0.5780  7 Cu 2.52-2.68
Cu 0.3313 0.3313 0.3313  6 Cu 2.52-2.57
Cu 0.4220 0.4220 0.9136  7 Cu 2.52-2.68
Cu 0.4220 0.9136 0.4220  7 Cu 2.52-2.68
Cu 0.5000 0.5000 0.5000  6 Cu 2.63
Cu 0.5780 0.0864 0.5780  7 Cu 2.52-2.68
Cu 0.5780 0.5780 0.0864  7 Cu 2.52-2.68
Cu 0.6687 0.6687 0.6687  6 Cu 2.52-2.57
Cu 0.9136 0.4220 0.4220  7 Cu 2.52-2.68

Calculated values
ΔH_f (0 K), eV per atom: -0.14
DOS(E_F), states/eV/cell: 7.59
Total magnetization, Bohr magnetons per cell: 0.00


Compound: Ti2VGa
Source: Alexandria via LeMat-Bulk
Functional: PBE-GGA
Structure: optimized geometry

Lattice parameters (Å, degrees): 9.0093 9.0093 9.0093 18.49 18.49 18.49
Last column: nearest neighbours and their distance in Å.
Fractional positions:
Ti 0.0000 0.0000 0.0000  3 V 2.72, 3 Ga 2.83, 6 Ti 2.89
Ti 0.1619 0.1619 0.1619  3 V 2.73, 3 Ga 2.82, 6 Ti 2.89
V 0.4140 0.4140 0.4140  6 Ti 2.72-2.73, 6 V 2.89
Ga 0.5809 0.5809 0.5809  6 Ti 2.82-2.83, 6 Ga 2.89

Calculated values
ΔH_f (0 K), eV per atom: -0.04
DOS(E_F), states/eV/cell: 4.89
Total magnetization, Bohr magnetons per cell: 0.00


Compound: PmEr7Tm12
Source: Alexandria via LeMat-Bulk
Functional: PBE-GGA
Structure: optimized geometry

Lattice parameters (Å, degrees): 9.6622 9.6622 9.6622 109.47 109.47 109.47
Last column: nearest neighbours and their distance in Å.
Fractional positions:
Pm 0.0000 0.0000 0.0000  12 Tm 4.05
Er 0.0000 0.0000 0.5000  6 Tm 2.79
Er 0.0000 0.5000 0.0000  6 Tm 2.79
Er 0.0000 0.5000 0.5000  12 Tm 3.84-3.95
Er 0.5000 0.0000 0.0000  6 Tm 2.79
Er 0.5000 0.0000 0.5000  12 Tm 3.84-3.95
Er 0.5000 0.5000 0.0000  12 Tm 3.84-3.95
Er 0.5000 0.5000 0.5000  6 Tm 2.79
Tm 0.0000 0.2566 0.7434  2 Er 2.79
Tm 0.0000 0.7434 0.2566  2 Er 2.79
Tm 0.2566 0.0000 0.7434  2 Er 2.79
Tm 0.2566 0.2566 0.5132  2 Er 2.79
Tm 0.2566 0.5132 0.2566  2 Er 2.79
Tm 0.2566 0.7434 0.0000  2 Er 2.79
Tm 0.4868 0.7434 0.7434  2 Er 2.79
Tm 0.5132 0.2566 0.2566  2 Er 2.79
Tm 0.7434 0.0000 0.2566  2 Er 2.79
Tm 0.7434 0.2566 0.0000  2 Er 2.79
Tm 0.7434 0.4868 0.7434  2 Er 2.79
Tm 0.7434 0.7434 0.4868  2 Er 2.79

Calculated values
ΔH_f (0 K), eV per atom: 0.75
DOS(E_F), states/eV/cell: 24.71
Total magnetization, Bohr magnetons per cell: 0.00
Excess energy over the best structure of this formula in the dataset, meV/atom: 425.9


Compound: RbSnH3
Source: Alexandria via LeMat-Bulk
Functional: PBE-GGA
Structure: optimized geometry

Lattice parameters (Å, degrees): 4.6473 4.6473 4.6473 90.00 90.00 90.00
Last column: nearest neighbours and their distance in Å.
Fractional positions:
Rb 0.0000 0.0000 0.0000  6 H 2.32
Sn 0.5000 0.5000 0.5000  12 H 3.29
H 0.0000 0.0000 0.5000  2 Rb 2.32
H 0.0000 0.5000 0.0000  2 Rb 2.32
H 0.5000 0.0000 0.0000  2 Rb 2.32

Calculated values
DOS(E_F), states/eV/cell: 0.58
Total magnetization, Bohr magnetons per cell: 0.00
Excess energy over the best structure of this formula in the dataset, meV/atom: 1007.9


Compound: Rb3Tl2In5
Source: Alexandria via LeMat-Bulk
Functional: PBE-GGA
Structure: optimized geometry

Lattice parameters (Å, degrees): 10.7672 10.7672 10.7672 105.74 88.42 139.14
Last column: nearest neighbours and their distance in Å.
Fractional positions:
Rb 0.1180 0.7345 0.8525  1 Tl 3.64, 7 In 4.02-4.07
Rb 0.2500 0.2500 0.0000  4 Tl 3.63, 2 Rb 3.76, 2 In 3.96
Rb 0.3820 0.2345 0.6165  1 Tl 3.64, 7 In 4.02-4.07
Rb 0.6180 0.7655 0.3835  1 Tl 3.64, 7 In 4.02-4.07
Rb 0.7500 0.7500 0.0000  4 Tl 3.63, 2 Rb 3.76, 2 In 3.96
Rb 0.8820 0.2655 0.1475  1 Tl 3.64, 7 In 4.02-4.07
Tl 0.1575 0.1490 0.3065  3 In 3.02-3.10
Tl 0.3425 0.6490 0.9915  3 In 3.02-3.10
Tl 0.6575 0.3510 0.0085  3 In 3.02-3.10
Tl 0.8425 0.8510 0.6935  3 In 3.02-3.10
In 0.0063 0.7500 0.2563  2 In 3.07, 2 Tl 3.10
In 0.1244 0.3782 0.5026  1 Tl 3.02, 4 In 3.07-3.12
In 0.2500 0.7500 0.5000  4 In 3.12
In 0.3756 0.8782 0.2539  1 Tl 3.02, 4 In 3.07-3.12
In 0.4937 0.7500 0.7437  2 In 3.07, 2 Tl 3.10
In 0.5063 0.2500 0.2563  2 In 3.07, 2 Tl 3.10
In 0.6244 0.1218 0.7461  1 Tl 3.02, 4 In 3.07-3.12
In 0.7500 0.2500 0.5000  4 In 3.12
In 0.8756 0.6218 0.4974  1 Tl 3.02, 4 In 3.07-3.12
In 0.9937 0.2500 0.7437  2 In 3.07, 2 Tl 3.10

Calculated values
ΔH_f (0 K), eV per atom: -0.04
DOS(E_F), states/eV/cell: 12.94
Total magnetization, Bohr magnetons per cell: 0.00


Compound: BaDyPb2
Source: Alexandria via LeMat-Bulk
Functional: PBE-GGA
Structure: optimized geometry

Lattice parameters (Å, degrees): 5.3696 5.3696 4.6542 90.00 90.00 90.00
Last column: nearest neighbours and their distance in Å.
Fractional positions:
Ba 0.0000 0.0000 0.0000  8 Pb 3.55, 4 Dy 3.80
Dy 0.5000 0.5000 0.0000  8 Pb 3.55, 4 Ba 3.80
Pb 0.0000 0.5000 0.5000  4 Ba 3.55, 4 Dy 3.55, 4 Pb 3.80
Pb 0.5000 0.0000 0.5000  4 Ba 3.55, 4 Dy 3.55, 4 Pb 3.80

Calculated values
ΔH_f (0 K), eV per atom: -0.33
DOS(E_F), states/eV/cell: 3.55
Total magnetization, Bohr magnetons per cell: 0.00


Compound: LiNdGdGe
Source: Alexandria via LeMat-Bulk
Functional: PBE-GGA
Structure: optimized geometry

Lattice parameters (Å, degrees): 5.1380 5.1380 5.1380 60.00 60.00 60.00
Last column: nearest neighbours and their distance in Å.
Fractional positions:
Li 0.0000 0.0000 0.0000  4 Gd 3.15, 4 Nd 3.15
Nd 0.2500 0.2500 0.2500  4 Ge 3.15, 4 Li 3.15
Gd 0.7500 0.7500 0.7500  4 Ge 3.15, 4 Li 3.15
Ge 0.5000 0.5000 0.5000  4 Gd 3.15, 4 Nd 3.15

Calculated values
ΔH_f (0 K), eV per atom: -0.41
DOS(E_F), states/eV/cell: 4.48
Total magnetization, Bohr magnetons per cell: 7.44


Compound: CaTaSb2
Source: Alexandria via LeMat-Bulk
Functional: PBE-GGA
Structure: optimized geometry

Lattice parameters (Å, degrees): 5.0342 5.0342 3.7062 90.00 90.00 90.00
Last column: nearest neighbours and their distance in Å.
Fractional positions:
Ca 0.0000 0.0000 0.0000  8 Sb 3.13
Ta 0.5000 0.5000 0.0000  8 Sb 3.13
Sb 0.0000 0.5000 0.5000  4 Ta 3.13, 4 Ca 3.13
Sb 0.5000 0.0000 0.5000  4 Ta 3.13, 4 Ca 3.13

Calculated values
DOS(E_F), states/eV/cell: 4.05
Formation energy from raw total energies, meV/atom: 53
Total magnetization, Bohr magnetons per cell: 0.00
Excess energy over the best structure of this formula in the dataset, meV/atom: 362.5


Compound: NdSi2NiRu
Source: Alexandria via LeMat-Bulk
Functional: PBE-GGA
Structure: optimized geometry

Lattice parameters (Å, degrees): 5.8487 5.8487 5.8487 139.70 139.70 58.31
Last column: nearest neighbours and their distance in Å.
Fractional positions:
Nd 0.0000 0.0000 0.0000  8 Si 3.13, 4 Ni 3.25, 4 Ru 3.25
Si 0.3726 0.3726 0.0000  2 Ru 2.37, 2 Ni 2.37, 1 Si 2.60
Si 0.6274 0.6274 0.0000  2 Ni 2.37, 2 Ru 2.37, 1 Si 2.60
Ni 0.7500 0.2500 0.5000  4 Si 2.37
Ru 0.2500 0.7500 0.5000  4 Si 2.37

Calculated values
DOS(E_F), states/eV/cell: 2.14
Formation energy from raw total energies, meV/atom: -822
Total magnetization, Bohr magnetons per cell: 0.00


Compound: Pm2In3Ni
Source: Alexandria via LeMat-Bulk
Functional: PBE-GGA
Structure: optimized geometry

Lattice parameters (Å, degrees): 3.7731 4.7964 8.2868 90.00 90.00 90.00
Last column: nearest neighbours and their distance in Å.
Fractional positions:
Pm 0.0000 0.0000 0.0000  2 Ni 3.02, 4 In 3.28
Pm 0.0000 0.5000 0.4472  8 In 3.14-3.46, 4 Ni 3.33
In 0.5000 0.0000 0.6061  1 Ni 2.66, 2 In 2.88
In 0.5000 0.5000 0.1446  2 Ni 2.67, 1 In 2.88
In 0.5000 0.5000 0.7975  3 In 2.88
Ni 0.5000 0.0000 0.2849  3 In 2.66-2.67

Calculated values
ΔH_f (0 K), eV per atom: -0.42
DOS(E_F), states/eV/cell: 4.57
Total magnetization, Bohr magnetons per cell: 0.00
Excess energy over the best structure of this formula in the dataset, meV/atom: 12.0


Number 6 is which compound?
RbSnH3